Compound: KTePb
Source: Alexandria via LeMat-Bulk
Functional: PBE-GGA
Structure: optimized geometry

Its uncorrected formation energy is -0.48 eV/atom. For the distance to the lowest polymorph of the same formula, the calculation gives 0.0 meV per atom. The value obtained for the raw total energy is -3.13 eV per atom. The crystal system is monoclinic. Its space group is C2/m.

Cell: 5.939 6.756 7.770 Å, 121.23 90.00 116.08°
Fractional positions:
Pb1 0.167 0.334 0.623
Pb2 0.833 0.666 0.377
Te1 0.794 0.587 0.748
K1 0.526 0.051 0.793
Te2 0.206 0.413 0.252
K2 0.474 0.949 0.207

---

Compound: KTePb2
Source: Alexandria via LeMat-Bulk
Functional: PBE-GGA
Structure: optimized geometry

Its uncorrected formation energy is 0.02 eV/atom. The value obtained for the raw total energy is -2.89 eV per atom. The crystal system is orthorhombic. Its space group is Cmmm.

Cell: 3.839 3.839 10.672 Å, 90.00 90.00 111.93°
Fractional positions:
K1 0.500 0.500 0.750
Pb1 0.000 0.000 0.463
Te1 0.500 0.500 0.250
Pb2 0.000 0.000 0.037

---

Compound: K3Te3Pb
Source: Alexandria via LeMat-Bulk
Functional: PBE-GGA
Structure: optimized geometry

Its uncorrected formation energy is -0.74 eV/atom. For the distance to the lowest polymorph of the same formula, the calculation gives 3.1 meV per atom. The value obtained for the raw total energy is -3.09 eV per atom. The crystal system is orthorhombic. Its space group is Cmce.

Cell: 8.241 11.514 14.099 Å, 90.00 90.00 110.97°
Fractional positions:
Te1 0.774 0.000 0.109
Te2 0.944 0.322 0.876
Pb1 0.411 0.822 0.500
Te3 0.444 0.322 0.624
K1 0.672 0.647 0.627
K2 0.025 0.353 0.627
K3 0.828 0.353 0.127
K4 0.328 0.353 0.373
Te4 0.379 0.322 0.124
Te5 0.274 0.000 0.391
Te6 0.726 0.000 0.609
Te7 0.121 0.678 0.624
K5 0.172 0.647 0.873
Pb2 0.589 0.178 0.500
Te8 0.056 0.678 0.124
K6 0.475 0.647 0.127
Pb3 0.911 0.822 0.000
K7 0.846 0.000 0.355
Pb4 0.089 0.178 0.000
K8 0.525 0.353 0.873
K9 0.154 0.000 0.645
K10 0.346 0.000 0.145
Te9 0.879 0.322 0.376
Te10 0.556 0.678 0.376
K11 0.975 0.647 0.373
K12 0.654 0.000 0.855
Te11 0.621 0.678 0.876
Te12 0.226 0.000 0.891

---

Compound: KTePb
Source: Alexandria via LeMat-Bulk
Functional: PBE-GGA
Structure: optimized geometry

Its uncorrected formation energy is -0.04 eV/atom. For the distance to the lowest polymorph of the same formula, the calculation gives 444.2 meV per atom. The value obtained for the raw total energy is -2.69 eV per atom. The crystal system is cubic. Its space group is F-43m.

Cell: 5.503 5.503 5.503 Å, 60.00 60.00 60.00°
Site moments in Bohr magnetons follow the coordinates.
Fractional positions:
Pb1 0.000 0.000 0.000  0.30
K1 0.750 0.750 0.750  0.02
Te1 0.500 0.500 0.500  -0.03

---

Compound: KTePb2
Source: Alexandria via LeMat-Bulk
Functional: PBE-GGA
Structure: optimized geometry

Its uncorrected formation energy is -0.17 eV/atom. The value obtained for the raw total energy is -3.08 eV per atom. The crystal system is cubic. Its space group is F-43m.

Cell: 5.715 5.715 5.715 Å, 60.00 60.00 60.00°
Fractional positions:
K1 0.500 0.500 0.500
Pb1 0.000 0.000 0.000
Te1 0.750 0.750 0.750
Pb2 0.250 0.250 0.250

---

Compound: K2Th2Te6Pb
Source: Alexandria via LeMat-Bulk
Functional: PBE-GGA
Structure: optimized geometry

Its uncorrected formation energy is -1.10 eV/atom. The value obtained for the raw total energy is -4.70 eV per atom. The crystal system is monoclinic. Its space group is C2/m.

Cell: 8.004 8.004 8.741 Å, 98.37 98.37 120.43°
Fractional positions:
Te1 0.719 0.719 0.713
Te2 0.067 0.415 0.711
K1 0.162 0.838 0.000
K2 0.838 0.162 0.000
Te3 0.585 0.933 0.289
Te4 0.933 0.585 0.289
Te5 0.415 0.067 0.711
Pb1 0.000 0.000 0.500
Te6 0.281 0.281 0.287
Th1 0.334 0.666 0.500
Th2 0.666 0.334 0.500

---

Compound: KUTe4Pb2
Source: Alexandria via LeMat-Bulk
Functional: PBE-GGA
Structure: optimized geometry

Its uncorrected formation energy is -0.53 eV/atom. The value obtained for the raw total energy is -4.58 eV per atom. The crystal system is tetragonal. Its space group is I-4m2.

Cell: 6.572 6.572 8.070 Å, 114.03 114.03 90.00°
Site moments in Bohr magnetons follow the coordinates.
Fractional positions:
Te1 0.757 0.757 0.513  -0.03
K1 0.500 0.500 0.000  0.00
Pb1 0.000 0.000 0.000  0.01
Te2 0.512 0.012 0.024  -0.02
Te3 0.243 0.243 0.487  -0.03
U1 0.750 0.250 0.500  2.86
Pb2 0.250 0.750 0.500  0.02
Te4 0.988 0.488 0.976  -0.02

---

Compound: K2UTe4Pb
Source: Alexandria via LeMat-Bulk
Functional: PBE-GGA
Structure: optimized geometry

Its uncorrected formation energy is -0.81 eV/atom. The value obtained for the raw total energy is -4.53 eV per atom. The crystal system is monoclinic. Its space group is P2/m.

Cell: 4.618 8.535 8.095 Å, 72.30 90.00 90.00°
Site moments in Bohr magnetons follow the coordinates.
Fractional positions:
Te1 0.000 0.288 0.258  -0.05
Pb1 0.500 0.500 0.000  0.00
Te2 0.500 0.293 0.721  -0.06
Te3 0.500 0.707 0.279  -0.06
U1 0.000 0.500 0.500  2.24
K1 0.000 0.000 0.000  0.00
K2 0.500 0.000 0.500  0.00
Te4 0.000 0.712 0.742  -0.05

---

Compound: K2VTe4Pb
Source: Alexandria via LeMat-Bulk
Functional: PBE-GGA
Structure: optimized geometry

Its uncorrected formation energy is -0.57 eV/atom. The value obtained for the raw total energy is -4.02 eV per atom. The crystal system is tetragonal. Its space group is I-42m.

Cell: 7.911 7.278 7.278 Å, 72.82 57.08 57.08°
Site moments in Bohr magnetons follow the coordinates.
Fractional positions:
Pb1 0.000 0.000 0.000  -0.01
Te1 0.535 0.000 0.334  -0.07
K1 0.000 0.500 0.500  0.00
Te2 0.131 0.334 0.000  -0.07
Te3 0.465 0.666 0.000  -0.07
Te4 0.869 0.000 0.666  -0.07
V1 0.500 0.000 0.000  1.26
K2 0.500 0.500 0.500  0.00

---

Compound: K2ZrTe6Pb3
Source: Alexandria via LeMat-Bulk
Functional: PBE-GGA
Structure: optimized geometry

Its uncorrected formation energy is -0.68 eV/atom. The value obtained for the raw total energy is -4.07 eV per atom. The crystal system is monoclinic. Its space group is C2/m.

Cell: 8.256 8.256 7.850 Å, 100.03 100.03 120.13°
Fractional positions:
Pb1 0.158 0.842 0.500
K1 0.669 0.331 0.000
Pb2 0.500 0.500 0.500
Te1 0.785 0.785 0.244
Te2 0.215 0.215 0.756
Te3 0.369 0.082 0.239
Te4 0.918 0.631 0.761
Zr1 0.000 0.000 0.000
Te5 0.631 0.918 0.761
Te6 0.082 0.369 0.239
K2 0.331 0.669 0.000
Pb3 0.842 0.158 0.500

---

Compound: KThPb
Source: Alexandria via LeMat-Bulk
Functional: PBE-GGA
Structure: optimized geometry

The value obtained for the formation energy is -1.7 kJ per mole of atoms. The value obtained for the raw total energy is -4.09 eV per atom. The crystal system is tetragonal. Its space group is P4/nmm.

Cell: 5.044 5.044 9.321 Å, 90.00 90.00 90.00°
Fractional positions:
Th1 0.000 0.000 0.500
Pb1 0.000 0.500 0.270
K1 0.000 0.500 0.868
Th2 0.500 0.500 0.500
K2 0.500 0.000 0.132
Pb2 0.500 0.000 0.730

---

Compound: KThPb2
Source: Alexandria via LeMat-Bulk
Functional: PBE-GGA
Structure: optimized geometry

For the distance to the lowest polymorph of the same formula, the calculation gives 0.0 meV per atom. The value obtained for the formation energy is -21.7 kJ per mole of atoms. The value obtained for the raw total energy is -4.21 eV per atom. The crystal system is tetragonal. Its space group is P4/mmm.

Cell: 3.572 3.572 10.260 Å, 90.00 90.00 90.00°
Fractional positions:
Th1 0.500 0.500 0.000
Pb1 0.000 0.000 0.766
Pb2 0.000 0.000 0.234
K1 0.500 0.500 0.500

---

Compound: KThPb2
Source: Alexandria via LeMat-Bulk
Functional: PBE-GGA
Structure: optimized geometry

For the distance to the lowest polymorph of the same formula, the calculation gives 96.7 meV per atom. The value obtained for the formation energy is -12.3 kJ per mole of atoms. The value obtained for the raw total energy is -4.11 eV per atom. The crystal system is tetragonal. Its space group is P4/mmm.

Cell: 3.382 6.155 6.155 Å, 90.00 90.00 90.00°
Fractional positions:
Th1 0.500 0.000 0.000
Pb1 0.000 0.000 0.500
Pb2 0.000 0.500 0.000
K1 0.500 0.500 0.500